1.
## Mg2TlRh3 (PBE)

Data for crystalline Mg2TlRh3 at its relaxed geometry.

- Fermi-level density of states: 0.3482 states/eV per atom
- ρ: 9.622 Mg/m³
- Crystal system: tetragonal
- Raw total energy: -4.911 eV/atom
- Magnetic moment: 0.000 Bohr magnetons per cell
- Formation enthalpy at 0 K: -1.857 eV per formula unit

Unit cell a=3.2030 b=3.2030 c=9.4494 alpha=90.00 beta=90.00 gamma=90.00
Last column: nearest neighbours and their distance in Å.
Space group P4/mmm (No. 123)
One atom of each set of equivalent atoms:
1 Mg 0.0000 0.0000 0.1582 (multiplicity 2)  8 Rh 2.71-2.75, 1 Mg 2.99
2 Tl 0.0000 0.0000 0.5000 (multiplicity 1)  8 Rh 2.82
3 Rh 0.5000 0.5000 0.0000 (multiplicity 1)  8 Mg 2.71
4 Rh 0.5000 0.5000 0.3224 (multiplicity 2)  4 Mg 2.75, 4 Tl 2.82, 1 Rh 3.05

=====

2.
## Gd2ErAs (PBE)

Data for crystalline Gd2ErAs at its relaxed geometry.

- Fermi-level density of states: 0.9331 states/eV per atom
- ρ: 7.503 Mg/m³
- Crystal system: trigonal
- Raw total energy: -9.929 eV/atom
- Magnetic moment: 47.460 Bohr magnetons per cell
- Formation enthalpy at 0 K: -2.340 eV per formula unit

Unit cell a=3.8813 b=3.8813 c=28.3313 alpha=90.00 beta=90.00 gamma=120.00
Last column: nearest neighbours and their distance in Å.
Space group R-3m (No. 166, hexagonal axes)
One atom of each set of equivalent atoms:
1 Gd 0.0000 0.0000 0.2293 (multiplicity 6)  3 As 2.86
2 Er 0.0000 0.0000 0.0000 (multiplicity 3)  6 Gd 3.70, 6 Er 3.88
3 As 0.0000 0.0000 0.5000 (multiplicity 3)  6 Gd 2.86

=====

3.
## Ga2Ag2Sb (PBE)

Data for crystalline Ga2Ag2Sb at its relaxed geometry.

- Fermi-level density of states: 0.3737 states/eV per atom
- Offset from the most stable computed form: 0.033 eV/atom
- Formation energy (no corrections): 0.1060 eV/atom
- ρ: 7.801 Mg/m³
- Crystal system: tetragonal
- Raw total energy: -3.070 eV/atom
- Magnetic moment: 0.000 Bohr magnetons per cell

Unit cell a=8.1801 b=8.1801 c=3.0343 alpha=90.00 beta=90.00 gamma=90.00
Last column: nearest neighbours and their distance in Å.
Space group P4/mbm (No. 127)
One atom of each set of equivalent atoms:
1 Ga 0.1723 0.3277 0.0000 (multiplicity 4)  6 Ag 2.80-2.89, 2 Sb 3.03, 2 Ga 3.03
2 Ag 0.1240 0.6240 0.5000 (multiplicity 4)  6 Ga 2.80-2.89, 3 Ag 2.87-3.03
3 Sb 0.0000 0.0000 0.0000 (multiplicity 2)  4 Ga 3.03, 2 Sb 3.03

=====

4.
## Tb2SiNiPt6 (PBE)

Data for crystalline Tb2SiNiPt6 at its relaxed geometry.

- Fermi-level density of states: 0.4731 states/eV per atom
- Formation energy (no corrections): -0.7997 eV/atom
- ρ: 13.928 Mg/m³
- Crystal system: triclinic
- Raw total energy: -6.471 eV/atom
- Magnetic moment: 0.000 Bohr magnetons per cell

Unit cell a=5.4382 b=6.3581 c=6.5913 alpha=81.07 beta=65.73 gamma=64.71
Last column: nearest neighbours and their distance in Å.
Space group P-1 (No. 2)
One atom of each set of equivalent atoms:
1 Tb 0.0237 0.2439 0.2088 (multiplicity 2)  7 Pt 2.99-3.09
2 Si 0.5000 0.0000 0.5000 (multiplicity 1)  6 Pt 2.39-2.42
3 Ni 0.5000 0.5000 0.0000 (multiplicity 1)  6 Pt 2.48-2.52
4 Pt 0.0067 0.2196 0.7605 (multiplicity 2)  1 Si 2.42, 1 Ni 2.52, 1 Pt 2.68
5 Pt 0.3523 0.3996 0.3987 (multiplicity 2)  1 Si 2.39, 1 Ni 2.48
6 Pt 0.4871 0.7818 0.2378 (multiplicity 2)  1 Si 2.42, 1 Ni 2.52, 1 Pt 2.68

=====

5.
## LiScTl3 (PBE)

Data for crystalline LiScTl3 at its relaxed geometry.

- Fermi-level density of states: 1.0285 states/eV per atom
- Offset from the most stable computed form: 0.153 eV/atom
- ρ: 6.166 Mg/m³
- Crystal system: cubic
- Raw total energy: -2.761 eV/atom
- Magnetic moment: 0.000 Bohr magnetons per cell
- Formation enthalpy at 0 K: 1.537 eV per formula unit

Unit cell a=5.6369 b=5.6369 c=5.6369 alpha=90.00 beta=90.00 gamma=90.00
Last column: nearest neighbours and their distance in Å.
Space group Pm-3m (No. 221)
One atom of each set of equivalent atoms:
1 Li 0.0000 0.0000 0.0000 (multiplicity 1)  12 Tl 3.99
2 Sc 0.5000 0.5000 0.5000 (multiplicity 1)  6 Tl 2.82
3 Tl 0.0000 0.5000 0.5000 (multiplicity 3)  2 Sc 2.82

=====

6.
## TaSe (PBE)

Data for crystalline TaSe at its relaxed geometry.

- Fermi-level density of states: 0.4423 states/eV per atom
- Formation energy (no corrections): -0.2823 eV/atom
- ρ: 11.138 Mg/m³
- Crystal system: orthorhombic
- Raw total energy: -7.951 eV/atom
- Magnetic moment: 0.000 Bohr magnetons per cell

Unit cell a=5.7296 b=5.9474 c=9.0968 alpha=90.00 beta=90.00 gamma=90.00
Last column: nearest neighbours and their distance in Å.
Space group P2_12_12_1 (No. 19)
One atom of each set of equivalent atoms:
1 Ta 0.0471 0.0466 0.1770 (multiplicity 4)  5 Se 2.61-2.87, 1 Ta 2.75
2 Ta 0.2349 0.3202 0.5549 (multiplicity 4)  5 Se 2.64-2.87, 1 Ta 2.75
3 Se 0.1084 0.9188 0.4484 (multiplicity 4)  5 Ta 2.61-2.87
4 Se 0.1368 0.6520 0.7640 (multiplicity 4)  5 Ta 2.67-2.87

=====

7.
## Al2TlOs (PBE)

Data for crystalline Al2TlOs at its relaxed geometry.

- Fermi-level density of states: 0.9505 states/eV per atom
- Offset from the most stable computed form: 0.684 eV/atom
- ρ: 10.735 Mg/m³
- Crystal system: cubic
- Raw total energy: -4.670 eV/atom
- Magnetic moment: 0.000 Bohr magnetons per cell
- Formation enthalpy at 0 K: 2.399 eV per formula unit

Unit cell a=6.5231 b=6.5231 c=6.5231 alpha=90.00 beta=90.00 gamma=90.00
Last column: nearest neighbours and their distance in Å.
Space group F-43m (No. 216)
One atom of each set of equivalent atoms:
1 Al 0.0000 0.0000 0.0000 (multiplicity 4)  4 Tl 2.82, 4 Al 2.82
2 Al 0.2500 0.2500 0.2500 (multiplicity 4)  4 Os 2.82, 4 Al 2.82
3 Tl 0.2500 0.2500 0.7500 (multiplicity 4)  4 Os 2.82, 4 Al 2.82
4 Os 0.0000 0.0000 0.5000 (multiplicity 4)  4 Tl 2.82, 4 Al 2.82

=====

8.
## Li2SmIn2 (PBE)

Data for crystalline Li2SmIn2 at its relaxed geometry.

- Fermi-level density of states: 0.5979 states/eV per atom
- Offset from the most stable computed form: 0.006 eV/atom
- ρ: 5.934 Mg/m³
- Crystal system: tetragonal
- Raw total energy: -3.117 eV/atom
- Magnetic moment: 0.359 Bohr magnetons per cell
- Formation enthalpy at 0 K: -1.561 eV per formula unit

Unit cell a=8.4157 b=8.4157 c=3.1126 alpha=90.00 beta=90.00 gamma=90.00
Last column: nearest neighbours and their distance in Å.
Space group P4/mbm (No. 127)
One atom of each set of equivalent atoms:
1 Li 0.1179 0.3821 0.0000 (multiplicity 4)  3 Li 2.81-3.11, 6 In 2.89-2.97
2 Sm 0.0000 0.0000 0.0000 (multiplicity 2)  2 Sm 3.11, 4 Li 3.37, 8 In 3.47
3 In 0.1772 0.6772 0.5000 (multiplicity 4)  6 Li 2.89-2.97, 2 In 3.11

=====

Look up the raw total energy of the sixth one. -7.951 eV/atom